Density functional theory data (PBE-GGA) for a geometry-optimized SrInHg5 structure.

Summary:
The total energy comes out at -1.0392 eV per atom. Its formation energy is -192 meV/atom.

Lattice parameters (Å, degrees): 5.750 5.750 6.919 90.00 90.00 114.00
Sites, in units of the cell vectors:
Sr 0.000 0.000 0.000
In 0.500 0.500 0.500
Hg 0.000 0.000 0.500
Hg 0.000 0.500 0.255
Hg 0.000 0.500 0.745
Hg 0.500 0.000 0.255
Hg 0.500 0.000 0.745


Density functional theory data (PBE-GGA) for a geometry-optimized SrIn2Hg10 structure.

Summary:
The total energy comes out at -0.8638 eV per atom. Its formation energy is -81 meV/atom.

Lattice parameters (Å, degrees): 10.227 8.068 7.934 79.45 50.85 49.70
Sites, in units of the cell vectors:
Sr 0.000 0.000 0.000
In 0.000 0.500 0.000
In 0.500 0.000 0.500
Hg 0.000 0.000 0.500
Hg 0.000 0.346 0.654
Hg 0.000 0.654 0.346
Hg 0.285 0.502 0.498
Hg 0.346 0.000 0.000
Hg 0.498 0.715 0.285
Hg 0.500 0.500 0.000
Hg 0.502 0.285 0.715
Hg 0.654 0.000 0.000
Hg 0.715 0.498 0.502


Density functional theory data (PBE-GGA) for a geometry-optimized Sr4In5Hg2 structure.

Summary:
The total energy comes out at -2.2992 eV per atom. Its formation energy is -388 meV/atom.

Lattice parameters (Å, degrees): 8.181 3.980 10.644 90.00 94.46 90.00
Sites, in units of the cell vectors:
Sr 0.171 0.000 0.381
Sr 0.267 0.000 0.941
Sr 0.733 0.000 0.059
Sr 0.829 0.000 0.619
In 0.199 0.500 0.659
In 0.446 0.500 0.206
In 0.500 0.500 0.500
In 0.554 0.500 0.794
In 0.801 0.500 0.341
Hg 0.063 0.500 0.138
Hg 0.937 0.500 0.862


Density functional theory data (PBE-GGA) for a geometry-optimized SrIn5Hg2 structure.

Summary:
The total energy comes out at -2.1586 eV per atom. Its formation energy is -161 meV/atom.

Lattice parameters (Å, degrees): 7.483 7.483 7.483 143.68 107.49 83.90
Sites, in units of the cell vectors:
Sr 0.000 0.000 0.000
In 0.175 0.358 0.817
In 0.458 0.642 0.817
In 0.500 0.000 0.500
In 0.542 0.358 0.183
In 0.825 0.642 0.183
Hg 0.220 0.720 0.500
Hg 0.780 0.280 0.500


Density functional theory data (PBE-GGA) for a geometry-optimized SrInHg17 structure.

Summary:
The total energy comes out at -0.5784 eV per atom. Its formation energy is -76 meV/atom.

Lattice parameters (Å, degrees): 8.385 8.385 8.385 74.23 74.23 74.23
Sites, in units of the cell vectors:
Sr 0.000 0.000 0.000
In 0.338 0.338 0.338
Hg 0.015 0.015 0.590
Hg 0.015 0.590 0.015
Hg 0.250 0.608 0.608
Hg 0.272 0.272 0.921
Hg 0.272 0.921 0.272
Hg 0.364 0.675 0.989
Hg 0.364 0.989 0.675
Hg 0.590 0.015 0.015
Hg 0.608 0.250 0.608
Hg 0.608 0.608 0.250
Hg 0.615 0.615 0.615
Hg 0.675 0.364 0.989
Hg 0.675 0.989 0.364
Hg 0.779 0.779 0.779
Hg 0.921 0.272 0.272
Hg 0.989 0.364 0.675
Hg 0.989 0.675 0.364


Density functional theory data (PBE-GGA) for a geometry-optimized Sr3In4Hg2 structure.

Summary:
The total energy comes out at -2.3165 eV per atom. Its formation energy is -472 meV/atom.

Lattice parameters (Å, degrees): 6.481 6.481 9.711 111.57 111.57 46.07
Sites, in units of the cell vectors:
Sr 0.000 0.000 0.000
Sr 0.322 0.322 0.350
Sr 0.678 0.678 0.650
In 0.020 0.020 0.358
In 0.253 0.253 0.917
In 0.747 0.747 0.083
In 0.980 0.980 0.642
Hg 0.403 0.403 0.733
Hg 0.597 0.597 0.267


Density functional theory data (PBE-GGA) for a geometry-optimized SrInHg2 structure.

Summary:
The total energy comes out at -1.5565 eV per atom. Its formation energy is -300 meV/atom.

Lattice parameters (Å, degrees): 4.020 4.754 6.451 90.00 106.22 90.00
Sites, in units of the cell vectors:
Sr 0.000 0.000 0.000
In 0.281 0.500 0.636
Hg 0.602 0.500 0.193
Hg 0.655 0.000 0.479


Density functional theory data (PBE-GGA) for a geometry-optimized SrIn12Hg4 structure.

Summary:
The total energy comes out at -2.0790 eV per atom. Its formation energy is 24 meV/atom.

Lattice parameters (Å, degrees): 8.714 8.714 8.714 109.47 109.47 109.47
Sites, in units of the cell vectors:
Sr 0.000 0.000 0.000
In 0.151 0.354 0.505
In 0.151 0.646 0.798
In 0.202 0.849 0.354
In 0.354 0.202 0.849
In 0.354 0.505 0.151
In 0.495 0.849 0.646
In 0.505 0.151 0.354
In 0.646 0.495 0.849
In 0.646 0.798 0.151
In 0.798 0.151 0.646
In 0.849 0.354 0.202
In 0.849 0.646 0.495
Hg 0.000 0.000 0.500
Hg 0.000 0.500 0.000
Hg 0.500 0.000 0.000
Hg 0.500 0.500 0.500


Density functional theory data (PBE-GGA) for a geometry-optimized Sr6In2Hg structure.

Summary:
The total energy comes out at -2.0426 eV per atom. Its formation energy is -279 meV/atom.

Lattice parameters (Å, degrees): 9.857 9.857 9.857 110.58 109.25 108.59
Sites, in units of the cell vectors:
Sr 0.043 0.832 0.211
Sr 0.257 0.327 0.584
Sr 0.257 0.561 0.303
Sr 0.257 0.673 0.930
Sr 0.257 0.954 0.697
Sr 0.379 0.168 0.211
Sr 0.621 0.832 0.789
Sr 0.743 0.046 0.303
Sr 0.743 0.327 0.070
Sr 0.743 0.439 0.697
Sr 0.743 0.673 0.416
Sr 0.957 0.168 0.789
In 0.000 0.144 0.144
In 0.000 0.856 0.856
In 0.375 0.375 0.000
In 0.625 0.625 0.000
Hg 0.000 0.500 0.500
Hg 0.500 0.000 0.500


Density functional theory data (PBE-GGA) for a geometry-optimized SrIn2Hg7 structure.

Summary:
The total energy comes out at -1.0724 eV per atom. Its formation energy is -145 meV/atom.

Lattice parameters (Å, degrees): 5.206 5.206 11.857 90.00 90.00 120.00
Sites, in units of the cell vectors:
Sr 0.000 0.000 0.000
In 0.333 0.667 0.635
In 0.667 0.333 0.488
Hg 0.000 0.000 0.304
Hg 0.000 0.000 0.640
Hg 0.333 0.667 0.138
Hg 0.333 0.667 0.387
Hg 0.333 0.667 0.878
Hg 0.667 0.333 0.169
Hg 0.667 0.333 0.821


Density functional theory data (PBE-GGA) for a geometry-optimized Sr6InHg3 structure.

Summary:
The total energy comes out at -1.7686 eV per atom. Its formation energy is -395 meV/atom.

Lattice parameters (Å, degrees): 10.856 5.380 13.540 90.00 108.76 90.00
Sites, in units of the cell vectors:
Sr 0.013 0.250 0.129
Sr 0.125 0.250 0.697
Sr 0.228 0.750 0.530
Sr 0.322 0.750 0.116
Sr 0.375 0.250 0.371
Sr 0.403 0.750 0.852
Sr 0.597 0.250 0.148
Sr 0.625 0.750 0.629
Sr 0.678 0.250 0.884
Sr 0.772 0.250 0.470
Sr 0.875 0.750 0.303
Sr 0.987 0.750 0.871
In 0.425 0.250 0.657
In 0.575 0.750 0.343
Hg 0.062 0.250 0.402
Hg 0.164 0.750 0.275
Hg 0.250 0.250 0.960
Hg 0.750 0.750 0.040
Hg 0.836 0.250 0.725
Hg 0.938 0.750 0.598


Density functional theory data (PBE-GGA) for a geometry-optimized Sr3In2Hg2 structure.

Summary:
The total energy comes out at -2.0198 eV per atom. Its formation energy is -430 meV/atom.

Lattice parameters (Å, degrees): 12.279 12.279 4.043 90.00 90.00 158.16
Sites, in units of the cell vectors:
Sr 0.000 0.000 0.000
Sr 0.160 0.840 0.000
Sr 0.840 0.160 0.000
In 0.422 0.578 0.500
In 0.578 0.422 0.500
Hg 0.287 0.713 0.500
Hg 0.713 0.287 0.500


Density functional theory data (PBE-GGA) for a geometry-optimized Sr2In7Hg structure.

Summary:
The total energy comes out at -2.5575 eV per atom. Its formation energy is -274 meV/atom.

Lattice parameters (Å, degrees): 4.881 4.881 12.455 90.00 90.00 90.00
Sites, in units of the cell vectors:
Sr 0.000 0.500 0.241
Sr 0.500 0.000 0.759
In 0.000 0.000 0.000
In 0.000 0.000 0.500
In 0.000 0.500 0.640
In 0.000 0.500 0.866
In 0.500 0.000 0.134
In 0.500 0.000 0.360
In 0.500 0.500 0.500
Hg 0.500 0.500 0.000


Density functional theory data (PBE-GGA) for a geometry-optimized Sr3In7Hg2 structure.

Summary:
The total energy comes out at -2.3911 eV per atom. Its formation energy is -323 meV/atom.

Lattice parameters (Å, degrees): 11.088 11.088 11.088 32.52 32.52 32.52
Sites, in units of the cell vectors:
Sr 0.000 0.000 0.000
Sr 0.140 0.140 0.140
Sr 0.860 0.860 0.860
In 0.079 0.585 0.585
In 0.415 0.415 0.921
In 0.415 0.921 0.415
In 0.500 0.500 0.500
In 0.585 0.079 0.585
In 0.585 0.585 0.079
In 0.921 0.415 0.415
Hg 0.335 0.335 0.335
Hg 0.665 0.665 0.665


Density functional theory data (PBE-GGA) for a geometry-optimized SrIn7Hg12 structure.

Summary:
The total energy comes out at -1.2677 eV per atom. Its formation energy is -44 meV/atom.

Lattice parameters (Å, degrees): 9.173 9.173 9.173 110.92 110.92 110.92
Sites, in units of the cell vectors:
Sr 0.000 0.000 0.000
In 0.206 0.206 0.570
In 0.206 0.570 0.206
In 0.430 0.794 0.794
In 0.500 0.500 0.500
In 0.570 0.206 0.206
In 0.794 0.430 0.794
In 0.794 0.794 0.430
Hg 0.000 0.235 0.765
Hg 0.000 0.765 0.235
Hg 0.090 0.420 0.420
Hg 0.235 0.000 0.765
Hg 0.235 0.765 0.000
Hg 0.420 0.090 0.420
Hg 0.420 0.420 0.090
Hg 0.580 0.580 0.910
Hg 0.580 0.910 0.580
Hg 0.765 0.000 0.235
Hg 0.765 0.235 0.000
Hg 0.910 0.580 0.580


Density functional theory data (PBE-GGA) for a geometry-optimized SrInHg2 structure.

Summary:
The total energy comes out at -1.5112 eV per atom. Its formation energy is -255 meV/atom.

Lattice parameters (Å, degrees): 8.592 8.592 8.592 28.36 28.36 28.36
Sites, in units of the cell vectors:
Sr 0.000 0.000 0.000
In 0.832 0.832 0.832
Hg 0.424 0.424 0.424
Hg 0.575 0.575 0.575


Density functional theory data (PBE-GGA) for a geometry-optimized SrInHg4 structure.

Summary:
The total energy comes out at -1.1485 eV per atom. Its formation energy is -211 meV/atom.

Lattice parameters (Å, degrees): 6.189 6.189 6.189 60.00 60.00 60.00
Sites, in units of the cell vectors:
Sr 0.000 0.000 0.000
In 0.250 0.250 0.250
Hg 0.126 0.625 0.625
Hg 0.625 0.126 0.625
Hg 0.625 0.625 0.126
Hg 0.625 0.625 0.625


Density functional theory data (PBE-GGA) for a geometry-optimized SrInHg2 structure.

Summary:
The total energy comes out at -1.5852 eV per atom. Its formation energy is -329 meV/atom.

Lattice parameters (Å, degrees): 3.950 4.080 7.119 90.00 91.93 90.00
Sites, in units of the cell vectors:
Sr 0.000 0.000 0.000
In 0.000 0.000 0.500
Hg 0.488 0.500 0.731
Hg 0.512 0.500 0.269


Density functional theory data (PBE-GGA) for a geometry-optimized Sr3InHg12 structure.

Summary:
The total energy comes out at -1.0240 eV per atom. Its formation energy is -311 meV/atom.

Lattice parameters (Å, degrees): 4.882 4.882 18.764 90.00 90.00 90.00
Sites, in units of the cell vectors:
Sr 0.000 0.000 0.000
Sr 0.000 0.000 0.260
Sr 0.000 0.000 0.740
In 0.000 0.000 0.500
Hg 0.000 0.500 0.129
Hg 0.000 0.500 0.384
Hg 0.000 0.500 0.616
Hg 0.000 0.500 0.871
Hg 0.500 0.000 0.129
Hg 0.500 0.000 0.384
Hg 0.500 0.000 0.616
Hg 0.500 0.000 0.871
Hg 0.500 0.500 0.000
Hg 0.500 0.500 0.255
Hg 0.500 0.500 0.500
Hg 0.500 0.500 0.745


Density functional theory data (PBE-GGA) for a geometry-optimized SrInHg2 structure.

Summary:
The total energy comes out at -1.6004 eV per atom. Its formation energy is -344 meV/atom.

Lattice parameters (Å, degrees): 5.013 5.013 4.529 90.00 90.00 90.00
Sites, in units of the cell vectors:
Sr 0.000 0.000 0.000
In 0.500 0.500 0.000
Hg 0.000 0.500 0.500
Hg 0.500 0.000 0.500


Density functional theory data (PBE-GGA) for a geometry-optimized SrInHg4 structure.

Summary:
The total energy comes out at -1.1428 eV per atom. Its formation energy is -205 meV/atom.

Lattice parameters (Å, degrees): 8.441 8.441 8.211 90.00 90.00 142.59
Sites, in units of the cell vectors:
Sr 0.127 0.873 0.750
Sr 0.873 0.127 0.250
In 0.354 0.646 0.750
In 0.646 0.354 0.250
Hg 0.074 0.926 0.250
Hg 0.274 0.726 0.074
Hg 0.274 0.726 0.426
Hg 0.500 0.500 0.000
Hg 0.500 0.500 0.500
Hg 0.726 0.274 0.574
Hg 0.726 0.274 0.926
Hg 0.926 0.074 0.750


These records have size of the total moment values of 0.000; 0.000; 0.000; 0.000; 0.000; 0.000; 0.000; 0.000; 0.007; 0.000; 0.000; 0.000; 0.000; 0.000; 0.000; 0.000; 0.000; 0.000; 0.000; 0.000; 0.000 μB/atom, in the order they appear.